First-principles (PBE) data for a relaxed VGePd2 crystal, as listed in the Alexandria database.

Values from the calculation:
E_tot   -6.05 eV per atom
DFT formation energy   -0.022 eV/atom
Total magnetization   0.338 μB per formula unit
ρ   8.74 Mg/m³

a = 9.313 Å, b = 9.313 Å, c = 9.313 Å
α = 156.55°, β = 156.55°, γ = 33.41°
Positions (direct):
V1 0.000 0.000 0.000
V2 0.750 0.250 0.500
Ge1 0.250 0.750 0.500
Ge2 0.500 0.500 0.000
Pd1 0.127 0.625 0.002
Pd2 0.375 0.377 0.502
Pd3 0.623 0.125 0.998
Pd4 0.875 0.873 0.498

First-principles (PBE) data for a relaxed VGe2Pd crystal, as listed in the Alexandria database.

Values from the calculation:
E_tot   -6.00 eV per atom
DFT formation energy   -0.118 eV/atom
Total magnetization   0.006 μB per formula unit
ρ   8.39 Mg/m³

a = 3.128 Å, b = 3.128 Å, c = 6.124 Å
α = 90.00°, β = 90.00°, γ = 90.00°
Positions (direct):
V1 0.000 0.000 0.000
Ge1 0.500 0.500 0.230
Ge2 0.500 0.500 0.770
Pd1 0.000 0.000 0.500

First-principles (PBE) data for a relaxed V6Ge3Pd crystal, as listed in the Alexandria database.

Values from the calculation:
E_tot   -7.47 eV per atom
DFT formation energy   -0.091 eV/atom
Total magnetization   0.000 μB per formula unit
ρ   7.00 Mg/m³

a = 7.272 Å, b = 7.272 Å, c = 6.100 Å
α = 90.00°, β = 90.00°, γ = 112.09°
Positions (direct):
V1 0.020 0.426 0.966
V2 0.050 0.950 0.500
V3 0.257 0.379 0.683
V4 0.272 0.728 0.709
V5 0.379 0.257 0.183
V6 0.426 0.020 0.466
V7 0.574 0.980 0.966
V8 0.621 0.743 0.683
V9 0.728 0.272 0.209
V10 0.743 0.621 0.183
V11 0.950 0.050 0.000
V12 0.980 0.574 0.466
Ge1 0.076 0.292 0.330
Ge2 0.292 0.076 0.830
Ge3 0.404 0.596 0.042
Ge4 0.596 0.404 0.542
Ge5 0.708 0.924 0.330
Ge6 0.924 0.708 0.830
Pd1 0.185 0.815 0.149
Pd2 0.815 0.185 0.649

First-principles (PBE) data for a relaxed V2GePd6 crystal, as listed in the Alexandria database.

Values from the calculation:
E_tot   -6.26 eV per atom
DFT formation energy   -0.256 eV/atom
Total magnetization   3.749 μB per formula unit
ρ   10.00 Mg/m³

a = 8.216 Å, b = 6.434 Å, c = 5.848 Å
α = 83.83°, β = 51.13°, γ = 45.04°
Positions (direct):
V1 0.173 0.173 0.827
V2 0.827 0.827 0.173
Ge1 0.500 0.500 0.500
Pd1 0.153 0.847 0.153
Pd2 0.176 0.491 0.509
Pd3 0.491 0.176 0.824
Pd4 0.509 0.824 0.176
Pd5 0.824 0.509 0.491
Pd6 0.847 0.153 0.847

First-principles (PBE) data for a relaxed V2GePd2 crystal, as listed in the Alexandria database.

Values from the calculation:
E_tot   -6.61 eV per atom
DFT formation energy   0.040 eV/atom
Total magnetization   1.278 μB per formula unit
ρ   8.31 Mg/m³
Energy above the lowest structure with this stoichiometry   0.0 meV per atom

a = 7.489 Å, b = 7.489 Å, c = 2.762 Å
α = 90.00°, β = 90.00°, γ = 90.00°
Positions (direct):
V1 0.170 0.330 0.000
V2 0.330 0.830 0.000
V3 0.670 0.170 0.000
V4 0.830 0.670 0.000
Ge1 0.000 0.000 0.500
Ge2 0.500 0.500 0.500
Pd1 0.127 0.627 0.500
Pd2 0.373 0.127 0.500
Pd3 0.627 0.873 0.500
Pd4 0.873 0.373 0.500

First-principles (PBE) data for a relaxed VGePd3 crystal, as listed in the Alexandria database.

Values from the calculation:
E_tot   -5.45 eV per atom
DFT formation energy   0.412 eV/atom
Total magnetization   3.348 μB per formula unit
ρ   7.54 Mg/m³
Energy above the lowest structure with this stoichiometry   0.0 meV per atom

a = 4.603 Å, b = 4.603 Å, c = 4.603 Å
α = 90.00°, β = 90.00°, γ = 90.00°
Positions (direct):
V1 0.000 0.000 0.000
Ge1 0.500 0.500 0.500
Pd1 0.000 0.500 0.500
Pd2 0.500 0.000 0.500
Pd3 0.500 0.500 0.000

Question: Which of these has the highest total magnetization?
Answer: V2GePd6